[1]
Entry from Alexandria via LeMat-Bulk: SmDyNi3 after structural relaxation (PBE-GGA).

```
SmDyNi3
1.0
4.001 0.000 0.000
0.000 3.823 -0.731
0.000 0.362 12.259
Sm Dy Ni
2 2 6
Direct
0.250 0.072 0.143
0.750 0.928 0.857
0.250 0.796 0.593
0.750 0.204 0.407
0.250 0.379 0.758
0.750 0.621 0.242
0.250 0.475 0.950
0.750 0.525 0.050
0.750 0.325 0.650
0.250 0.675 0.350
```

- Theoretical density: 8.61 Mg/m³
- DOS at the Fermi energy: 4.78 states/eV/f.u.
- Formation energy from the elements: -1.967 eV per formula unit
- SG: No. 63

[2]
Entry from Alexandria via LeMat-Bulk: Pr6Dy3YEr2 after structural relaxation (PBE-GGA).

```
Pr6Dy3YEr2
1.0
6.304 -0.001 0.010
-3.151 5.460 0.010
-1.067 -1.847 11.681
Pr Dy Y Er
6 3 1 2
Direct
0.916 0.582 0.750
0.749 0.749 0.250
0.084 0.418 0.250
0.582 0.916 0.750
0.251 0.251 0.750
0.418 0.084 0.250
0.167 0.833 0.500
0.833 0.167 0.500
0.500 0.500 0.500
0.000 0.000 0.000
0.333 0.667 0.000
0.667 0.333 0.000
```

- Theoretical density: 7.25 Mg/m³
- DOS at the Fermi energy: 13.00 states/eV/f.u.
- Formation energy from the elements: 0.135 eV per formula unit
- SG: No. 12

[3]
Entry from Alexandria via LeMat-Bulk: Ac3Tl2In3Hg after structural relaxation (PBE-GGA).

```
Ac3Tl2In3Hg
1.0
4.866 0.000 0.000
0.000 8.199 0.000
0.000 -4.100 7.101
Ac Tl In Hg
3 2 3 1
Direct
0.000 0.000 0.402
0.000 0.598 0.598
0.000 0.402 0.000
0.500 0.333 0.667
0.500 0.667 0.333
0.500 0.757 0.000
0.500 0.243 0.243
0.500 0.000 0.757
0.000 0.000 0.000
```

- Theoretical density: 9.58 Mg/m³
- DOS at the Fermi energy: 4.52 states/eV/f.u.
- Formation energy from the elements: -3.668 eV per formula unit
- SG: No. 189

[4]
Entry from Alexandria via LeMat-Bulk: SmThTlC after structural relaxation (PBE-GGA).

```
SmThTlC
1.0
-2.027 -2.151 -2.222
0.260 -0.790 3.603
-5.492 6.487 1.820
Sm Th Tl C
1 1 1 1
Direct
0.521 0.158 0.696
0.078 0.937 0.031
0.973 0.385 0.372
0.306 0.551 0.872
```

- Theoretical density: 9.97 Mg/m³
- DOS at the Fermi energy: 3.08 states/eV/f.u.
- Formation energy from the elements: -1.230 eV per formula unit
- SG: No. 160

[5]
Entry from Alexandria via LeMat-Bulk: InFe2MoI after structural relaxation (PBE-GGA).

```
InFe2MoI
1.0
-2.036 1.121 3.936
-4.925 -0.768 -2.329
0.074 -4.385 1.288
I Mo Fe In
1 1 2 1
Direct
0.000 0.500 0.000
0.000 0.000 0.000
0.000 0.000 0.500
0.500 0.000 0.000
0.500 0.500 0.500
```

- Theoretical density: 6.49 Mg/m³
- DOS at the Fermi energy: 10.83 states/eV/f.u.
- SG: No. 123
- E_form (uncorrected): 1.424 eV/atom

[6]
Entry from Alexandria via LeMat-Bulk: Cs3Al2H9 after structural relaxation (PBE-GGA).

```
Cs3Al2H9
1.0
6.200 0.000 0.000
-3.100 5.370 0.000
0.000 0.000 14.692
Cs Al H
6 4 18
Direct
0.000 0.000 0.750
0.000 0.000 0.250
0.667 0.333 0.918
0.333 0.667 0.082
0.333 0.667 0.418
0.667 0.333 0.582
0.667 0.333 0.161
0.333 0.667 0.839
0.333 0.667 0.661
0.667 0.333 0.339
0.458 0.916 0.750
0.084 0.542 0.750
0.458 0.542 0.750
0.542 0.084 0.250
0.916 0.458 0.250
0.542 0.458 0.250
0.196 0.392 0.895
0.608 0.804 0.895
0.196 0.804 0.895
0.804 0.608 0.105
0.392 0.196 0.105
0.804 0.196 0.105
0.804 0.608 0.395
0.392 0.196 0.395
0.804 0.196 0.395
0.196 0.392 0.605
0.608 0.804 0.605
0.196 0.804 0.605
```

- Energy: -87.7 eV for the cell shown
- Theoretical density: 3.13 Mg/m³
- DOS at the Fermi energy: 0.00 states/eV/f.u.
- SG: No. 194

What did the third record say?
Entry from Alexandria via LeMat-Bulk: Ac3Tl2In3Hg after structural relaxation (PBE-GGA).

```
Ac3Tl2In3Hg
1.0
4.866 0.000 0.000
0.000 8.199 0.000
0.000 -4.100 7.101
Ac Tl In Hg
3 2 3 1
Direct
0.000 0.000 0.402
0.000 0.598 0.598
0.000 0.402 0.000
0.500 0.333 0.667
0.500 0.667 0.333
0.500 0.757 0.000
0.500 0.243 0.243
0.500 0.000 0.757
0.000 0.000 0.000
```

- Theoretical density: 9.58 Mg/m³
- DOS at the Fermi energy: 4.52 states/eV/f.u.
- Formation energy from the elements: -3.668 eV per formula unit
- SG: No. 189

DOS at the Fermi energy of number 1 (SmDyNi3)?
4.78 states/eV/f.u.